(w)
## YTe2Br (GGA-PBE)

Data for crystalline YTe2Br at its relaxed geometry.

* magnetization: 0.00 μB/cell
* density of states at the Fermi level: 4.2 states/eV/cell
* space group: R-3m (166)

Geometry as CIF:
```
data_YTe2Br
_chemical_formula_sum 'Y1 Te2 Br1'
_cell_length_a 11.4701
_cell_length_b 11.4701
_cell_length_c 11.4701
_cell_angle_alpha 17.81
_cell_angle_beta 17.81
_cell_angle_gamma 17.81
_symmetry_space_group_name_H-M 'P 1'
_symmetry_Int_Tables_number 1
_symmetry_space_group_name_Hall 'P 1'
loop_
_atom_site_label
_atom_site_type_symbol
_atom_site_fract_x
_atom_site_fract_y
_atom_site_fract_z
_atom_site_occupancy
Y1 Y 0.0000 0.0000 0.0000 1
Te1 Te 0.9107 0.9107 0.9107 1
Br1 Br 0.5000 0.5000 0.5000 1
Te2 Te 0.0893 0.0893 0.0893 1
```

=====

(x)
## YTe2Br (GGA-PBE)

Data for crystalline YTe2Br at its relaxed geometry.

* magnetization: 0.00 μB/cell
* density of states at the Fermi level: 0.5 states/eV/cell
* space group: Imm2 (44)

Geometry as CIF:
```
data_YTe2Br
_chemical_formula_sum 'Y1 Te2 Br1'
_cell_length_a 8.0246
_cell_length_b 8.0246
_cell_length_c 8.0246
_cell_angle_alpha 150.20
_cell_angle_beta 140.41
_cell_angle_gamma 50.33
_symmetry_space_group_name_H-M 'P 1'
_symmetry_Int_Tables_number 1
_symmetry_space_group_name_Hall 'P 1'
loop_
_atom_site_label
_atom_site_type_symbol
_atom_site_fract_x
_atom_site_fract_y
_atom_site_fract_z
_atom_site_occupancy
Te1 Te 0.6310 0.1310 0.5000 1
Br1 Br 0.3437 0.8437 0.5000 1
Y1 Y 0.4810 0.4810 0.0000 1
Te2 Te 0.0442 0.0442 0.0000 1
```

=====

Most stable pick: (x). Distance to second place: 1122 meV per atom.

=====

(w)
## YTe2Br (GGA-PBE)

Data for crystalline YTe2Br at its relaxed geometry.

* magnetization: 0.00 μB/cell
* density of states at the Fermi level: 1.6 states/eV/cell
* space group: C2/m (12)

Geometry as CIF:
```
data_YTe2Br
_chemical_formula_sum 'Y1 Te2 Br1'
_cell_length_a 6.0233
_cell_length_b 6.0233
_cell_length_c 5.5252
_cell_angle_alpha 77.09
_cell_angle_beta 77.09
_cell_angle_gamma 37.49
_symmetry_space_group_name_H-M 'P 1'
_symmetry_Int_Tables_number 1
_symmetry_space_group_name_Hall 'P 1'
loop_
_atom_site_label
_atom_site_type_symbol
_atom_site_fract_x
_atom_site_fract_y
_atom_site_fract_z
_atom_site_occupancy
Y1 Y 0.7500 0.7500 0.7500 1
Br1 Br 0.2500 0.2500 0.2500 1
Te1 Te 0.4650 0.4650 0.5520 1
Te2 Te 0.0350 0.0350 0.9480 1
```

=====

(x)
## YTe2Br (GGA-PBE)

Data for crystalline YTe2Br at its relaxed geometry.

* magnetization: 0.00 μB/cell
* density of states at the Fermi level: 0.1 states/eV/cell
* space group: R-3m (166)

Geometry as CIF:
```
data_YTe2Br
_chemical_formula_sum 'Y1 Te2 Br1'
_cell_length_a 9.1669
_cell_length_b 9.1669
_cell_length_c 9.1669
_cell_angle_alpha 28.90
_cell_angle_beta 28.90
_cell_angle_gamma 28.90
_symmetry_space_group_name_H-M 'P 1'
_symmetry_Int_Tables_number 1
_symmetry_space_group_name_Hall 'P 1'
loop_
_atom_site_label
_atom_site_type_symbol
_atom_site_fract_x
_atom_site_fract_y
_atom_site_fract_z
_atom_site_occupancy
Te1 Te 0.1056 0.1056 0.1056 1
Te2 Te 0.8944 0.8944 0.8944 1
Br1 Br 0.0000 0.0000 0.0000 1
Y1 Y 0.5000 0.5000 0.5000 1
```

=====

Most stable pick: (x). Distance to second place: 51 meV per atom.

=====

(w)
## YTe2Br (GGA-PBE)

Data for crystalline YTe2Br at its relaxed geometry.

* magnetization: 0.42 μB/cell
* density of states at the Fermi level: 4.4 states/eV/cell
* space group: R3m (160)

Geometry as CIF:
```
data_YTe2Br
_chemical_formula_sum 'Y1 Te2 Br1'
_cell_length_a 10.6091
_cell_length_b 10.6091
_cell_length_c 10.6091
_cell_angle_alpha 21.57
_cell_angle_beta 21.57
_cell_angle_gamma 21.57
_symmetry_space_group_name_H-M 'P 1'
_symmetry_Int_Tables_number 1
_symmetry_space_group_name_Hall 'P 1'
loop_
_atom_site_label
_atom_site_type_symbol
_atom_site_fract_x
_atom_site_fract_y
_atom_site_fract_z
_atom_site_occupancy
Br1 Br 0.2224 0.2224 0.2224 1
Te1 Te 0.0101 0.0101 0.0101 1
Te2 Te 0.7699 0.7699 0.7699 1
Y1 Y 0.4975 0.4975 0.4975 1
```

=====

(x)
## YTe2Br (GGA-PBE)

Data for crystalline YTe2Br at its relaxed geometry.

* magnetization: 0.00 μB/cell
* density of states at the Fermi level: 1.6 states/eV/cell
* space group: Immm (71)

Geometry as CIF:
```
data_YTe2Br
_chemical_formula_sum 'Y1 Te2 Br1'
_cell_length_a 6.4139
_cell_length_b 6.4139
_cell_length_c 6.4139
_cell_angle_alpha 143.35
_cell_angle_beta 133.00
_cell_angle_gamma 61.04
_symmetry_space_group_name_H-M 'P 1'
_symmetry_Int_Tables_number 1
_symmetry_space_group_name_Hall 'P 1'
loop_
_atom_site_label
_atom_site_type_symbol
_atom_site_fract_x
_atom_site_fract_y
_atom_site_fract_z
_atom_site_occupancy
Te1 Te 0.5202 0.5202 0.0000 1
Y1 Y 0.7500 0.2500 0.5000 1
Br1 Br 0.2500 0.7500 0.5000 1
Te2 Te 0.9798 0.9798 0.0000 1
```

=====

(y)
## YTe2Br (GGA-PBE)

Data for crystalline YTe2Br at its relaxed geometry.

* magnetization: 0.00 μB/cell
* density of states at the Fermi level: 2.8 states/eV/cell
* space group: Cmmm (65)

Geometry as CIF:
```
data_YTe2Br
_chemical_formula_sum 'Y1 Te2 Br1'
_cell_length_a 5.4300
_cell_length_b 5.4300
_cell_length_c 4.5520
_cell_angle_alpha 90.00
_cell_angle_beta 90.00
_cell_angle_gamma 115.17
_symmetry_space_group_name_H-M 'P 1'
_symmetry_Int_Tables_number 1
_symmetry_space_group_name_Hall 'P 1'
loop_
_atom_site_label
_atom_site_type_symbol
_atom_site_fract_x
_atom_site_fract_y
_atom_site_fract_z
_atom_site_occupancy
Te1 Te 0.0000 0.0000 0.0000 1
Br1 Br 0.0000 0.5000 0.5000 1
Y1 Y 0.5000 0.0000 0.5000 1
Te2 Te 0.5000 0.5000 0.0000 1
```

=====

Most stable pick: (x). Distance to second place: 26 meV per atom.

=====

(w)
## YTe2Br (GGA-PBE)

Data for crystalline YTe2Br at its relaxed geometry.

* magnetization: 0.00 μB/cell
* density of states at the Fermi level: 1.2 states/eV/cell
* space group: P4/mmm (123)

Geometry as CIF:
```
data_YTe2Br
_chemical_formula_sum 'Y1 Te2 Br1'
_cell_length_a 4.1020
_cell_length_b 4.1026
_cell_length_c 7.0581
_cell_angle_alpha 90.00
_cell_angle_beta 90.00
_cell_angle_gamma 90.00
_symmetry_space_group_name_H-M 'P 1'
_symmetry_Int_Tables_number 1
_symmetry_space_group_name_Hall 'P 1'
loop_
_atom_site_label
_atom_site_type_symbol
_atom_site_fract_x
_atom_site_fract_y
_atom_site_fract_z
_atom_site_occupancy
Te1 Te 0.0000 0.0000 0.4524 1
Y1 Y 0.5000 0.5000 0.2500 1
Br1 Br 0.5000 0.5000 0.7500 1
Te2 Te 0.0000 0.0000 0.0476 1
```

=====

(x)
## YTe2Br (GGA-PBE)

Data for crystalline YTe2Br at its relaxed geometry.

* magnetization: 0.00 μB/cell
* density of states at the Fermi level: 3.2 states/eV/cell
* space group: Cmm2 (35)

Geometry as CIF:
```
data_YTe2Br
_chemical_formula_sum 'Y1 Te2 Br1'
_cell_length_a 3.4836
_cell_length_b 3.4836
_cell_length_c 11.3278
_cell_angle_alpha 90.00
_cell_angle_beta 90.00
_cell_angle_gamma 95.20
_symmetry_space_group_name_H-M 'P 1'
_symmetry_Int_Tables_number 1
_symmetry_space_group_name_Hall 'P 1'
loop_
_atom_site_label
_atom_site_type_symbol
_atom_site_fract_x
_atom_site_fract_y
_atom_site_fract_z
_atom_site_occupancy
Y1 Y 0.0000 0.0000 0.5058 1
Br1 Br 0.5000 0.5000 0.6649 1
Te1 Te 0.5000 0.5000 0.3335 1
Te2 Te 0.0000 0.0000 0.9958 1
```

=====

(y)
## YTe2Br (GGA-PBE)

Data for crystalline YTe2Br at its relaxed geometry.

* magnetization: 0.00 μB/cell
* density of states at the Fermi level: 3.6 states/eV/cell
* space group: F-43m (216)

Geometry as CIF:
```
data_YTe2Br
_chemical_formula_sum 'Y1 Te2 Br1'
_cell_length_a 5.3974
_cell_length_b 5.3974
_cell_length_c 5.3974
_cell_angle_alpha 60.00
_cell_angle_beta 60.00
_cell_angle_gamma 60.00
_symmetry_space_group_name_H-M 'P 1'
_symmetry_Int_Tables_number 1
_symmetry_space_group_name_Hall 'P 1'
loop_
_atom_site_label
_atom_site_type_symbol
_atom_site_fract_x
_atom_site_fract_y
_atom_site_fract_z
_atom_site_occupancy
Te1 Te 0.0000 0.0000 0.0000 1
Y1 Y 0.7500 0.7500 0.7500 1
Br1 Br 0.5000 0.5000 0.5000 1
Te2 Te 0.2500 0.2500 0.2500 1
```

=====

(z)
## YTe2Br (GGA-PBE)

Data for crystalline YTe2Br at its relaxed geometry.

* magnetization: 0.00 μB/cell
* density of states at the Fermi level: 4.6 states/eV/cell
* space group: R-3m (166)

Geometry as CIF:
```
data_YTe2Br
_chemical_formula_sum 'Y1 Te2 Br1'
_cell_length_a 8.0778
_cell_length_b 8.0778
_cell_length_c 8.0778
_cell_angle_alpha 33.39
_cell_angle_beta 33.39
_cell_angle_gamma 33.39
_symmetry_space_group_name_H-M 'P 1'
_symmetry_Int_Tables_number 1
_symmetry_space_group_name_Hall 'P 1'
loop_
_atom_site_label
_atom_site_type_symbol
_atom_site_fract_x
_atom_site_fract_y
_atom_site_fract_z
_atom_site_occupancy
Y1 Y 0.7500 0.7500 0.7500 1
Br1 Br 0.2500 0.2500 0.2500 1
Te1 Te 0.4818 0.4818 0.4818 1
Te2 Te 0.0182 0.0182 0.0182 1
```

=====

Most stable pick: (w). Distance to second place: 166 meV per atom.

=====

(w)
## YTeBr3 (GGA-PBE)

Data for crystalline YTeBr3 at its relaxed geometry.

* magnetization: 1.54 μB/cell
* density of states at the Fermi level: 7.5 states/eV/cell
* space group: Pm-3m (221)

Geometry as CIF:
```
data_YTeBr3
_chemical_formula_sum 'Y1 Te1 Br3'
_cell_length_a 5.7584
_cell_length_b 5.7584
_cell_length_c 5.7584
_cell_angle_alpha 90.00
_cell_angle_beta 90.00
_cell_angle_gamma 90.00
_symmetry_space_group_name_H-M 'P 1'
_symmetry_Int_Tables_number 1
_symmetry_space_group_name_Hall 'P 1'
loop_
_atom_site_label
_atom_site_type_symbol
_atom_site_fract_x
_atom_site_fract_y
_atom_site_fract_z
_atom_site_occupancy
Br1 Br 0.0000 0.0000 0.5000 1
Br2 Br 0.0000 0.5000 0.0000 1
Te1 Te 0.0000 0.0000 0.0000 1
Y1 Y 0.5000 0.5000 0.5000 1
Br3 Br 0.5000 0.0000 0.0000 1
```

=====

(x)
## YTeBr3 (GGA-PBE)

Data for crystalline YTeBr3 at its relaxed geometry.

* magnetization: 2.00 μB/cell
* density of states at the Fermi level: 3.2 states/eV/cell
* space group: Pm-3m (221)

Geometry as CIF:
```
data_YTeBr3
_chemical_formula_sum 'Y1 Te1 Br3'
_cell_length_a 5.6273
_cell_length_b 5.6273
_cell_length_c 5.6273
_cell_angle_alpha 90.00
_cell_angle_beta 90.00
_cell_angle_gamma 90.00
_symmetry_space_group_name_H-M 'P 1'
_symmetry_Int_Tables_number 1
_symmetry_space_group_name_Hall 'P 1'
loop_
_atom_site_label
_atom_site_type_symbol
_atom_site_fract_x
_atom_site_fract_y
_atom_site_fract_z
_atom_site_occupancy
Te1 Te 0.5000 0.5000 0.5000 1
Y1 Y 0.0000 0.0000 0.0000 1
Br1 Br 0.5000 0.0000 0.0000 1
Br2 Br 0.0000 0.0000 0.5000 1
Br3 Br 0.0000 0.5000 0.0000 1
```

=====

Most stable pick: (x). Distance to second place: 1034 meV per atom.

=====

(w)
## YTeBr2 (GGA-PBE)

Data for crystalline YTeBr2 at its relaxed geometry.

* magnetization: 0.00 μB/cell
* density of states at the Fermi level: 4.8 states/eV/cell
* space group: F-43m (216)

Geometry as CIF:
```
data_YTeBr2
_chemical_formula_sum 'Y1 Te1 Br2'
_cell_length_a 5.3662
_cell_length_b 5.3662
_cell_length_c 5.3662
_cell_angle_alpha 60.00
_cell_angle_beta 60.00
_cell_angle_gamma 60.00
_symmetry_space_group_name_H-M 'P 1'
_symmetry_Int_Tables_number 1
_symmetry_space_group_name_Hall 'P 1'
loop_
_atom_site_label
_atom_site_type_symbol
_atom_site_fract_x
_atom_site_fract_y
_atom_site_fract_z
_atom_site_occupancy
Te1 Te 0.5000 0.5000 0.5000 1
Y1 Y 0.7500 0.7500 0.7500 1
Br1 Br 0.2500 0.2500 0.2500 1
Br2 Br 0.0000 0.0000 0.0000 1
```

=====

(x)
## YTeBr2 (GGA-PBE)

Data for crystalline YTeBr2 at its relaxed geometry.

* magnetization: 1.00 μB/cell
* density of states at the Fermi level: 4.8 states/eV/cell
* space group: R3m (160)

Geometry as CIF:
```
data_YTeBr2
_chemical_formula_sum 'Y1 Te1 Br2'
_cell_length_a 9.3676
_cell_length_b 9.3676
_cell_length_c 9.3676
_cell_angle_alpha 25.93
_cell_angle_beta 25.93
_cell_angle_gamma 25.93
_symmetry_space_group_name_H-M 'P 1'
_symmetry_Int_Tables_number 1
_symmetry_space_group_name_Hall 'P 1'
loop_
_atom_site_label
_atom_site_type_symbol
_atom_site_fract_x
_atom_site_fract_y
_atom_site_fract_z
_atom_site_occupancy
Br1 Br 0.2435 0.2435 0.2435 1
Y1 Y 0.7502 0.7502 0.7502 1
Br2 Br 0.0228 0.0228 0.0228 1
Te1 Te 0.4835 0.4835 0.4835 1
```

=====

Most stable pick: (x). Distance to second place: 151 meV per atom.